# 1
# Tl2SbW, PBEsol geometry, DFT meta-GGA SCAN
# * mass density: 13.00 g/cm³
# * formation energy (no corrections): 1.00 eV/atom
# * crystal system: monoclinic
# * polymorph energy (0 for the lowest one): 0 meV per atom
data_Tl2SbW
_chemical_formula_sum 'Tl2 Sb1 W1'
_cell_length_a 3.115
_cell_length_b 5.427
_cell_length_c 5.464
_cell_angle_alpha 90.00
_cell_angle_beta 98.78
_cell_angle_gamma 90.00
_space_group_name_H-M_alt 'P 1 2/m 1'
_space_group_IT_number 10
loop_
_space_group_symop_operation_xyz
'x,y,z'
'-x,-y,-z'
'-x,y,-z'
'x,-y,z'
loop_
_atom_site_label
_atom_site_type_symbol
_atom_site_fract_x
_atom_site_fract_y
_atom_site_fract_z
_atom_site_occupancy
Tl1 Tl 0.207 0.000 0.260 1
Sb1 Sb 0.500 0.500 0.000 1
W1 W 0.500 0.500 0.500 1


# 2
# CdH8C2Br3N, PBEsol geometry, DFT meta-GGA SCAN
# * mass density: 3.12 g/cm³
# * uncorrected energy: -10.1940 eV/atom
# * crystal system: monoclinic
data_CdH8C2Br3N
_chemical_formula_sum 'Cd4 H32 C8 Br12 N4'
_cell_length_a 9.346
_cell_length_b 13.347
_cell_length_c 6.944
_cell_angle_alpha 90.00
_cell_angle_beta 101.40
_cell_angle_gamma 90.00
_space_group_name_H-M_alt 'P 1 21/c 1'
_space_group_IT_number 14
loop_
_space_group_symop_operation_xyz
'x,y,z'
'-x,-y,-z'
'-x,y+1/2,-z+1/2'
'x,-y+1/2,z+1/2'
loop_
_atom_site_label
_atom_site_type_symbol
_atom_site_fract_x
_atom_site_fract_y
_atom_site_fract_z
_atom_site_occupancy
Cd1 Cd 0.209 0.248 0.497 1
H1 H 0.119 0.545 0.899 1
H2 H 0.150 0.559 0.562 1
H3 H 0.164 0.670 0.836 1
H4 H 0.270 0.022 0.194 1
H5 H 0.303 0.590 0.976 1
H6 H 0.336 0.689 0.601 1
H7 H 0.382 0.578 0.476 1
H8 H 0.463 0.599 0.731 1
C1 C 0.205 0.592 0.860 1
C2 C 0.364 0.609 0.617 1
Br1 Br 0.006 0.159 0.184 1
Br2 Br 0.208 0.093 0.751 1
Br3 Br 0.412 0.161 0.304 1
N1 N 0.242 0.554 0.676 1


# 3
# InTeI2N, PBEsol geometry, DFT meta-GGA SCAN
# * mass density: 6.88 g/cm³
# * formation energy (no corrections): 0.70 eV/atom
# * crystal system: tetragonal
data_InTeI2N
_chemical_formula_sum 'In1 Te1 I2 N1'
_cell_length_a 5.093
_cell_length_b 5.093
_cell_length_c 4.745
_cell_angle_alpha 90.00
_cell_angle_beta 90.00
_cell_angle_gamma 90.00
_space_group_name_H-M_alt 'P 4/m m m'
_space_group_IT_number 123
_space_group_name_Hall '-P 4 2'
loop_
_atom_site_label
_atom_site_type_symbol
_atom_site_fract_x
_atom_site_fract_y
_atom_site_fract_z
_atom_site_occupancy
In1 In 0.000 0.000 0.000 1
Te1 Te 0.500 0.500 0.000 1
I1 I 0.000 0.500 0.500 1
N1 N 0.500 0.500 0.500 1


# 4
# BeZnMo, PBEsol geometry, DFT meta-GGA SCAN
# * mass density: 7.62 g/cm³
# * energy of formation: 84 meV per atom
# * crystal system: tetragonal
data_BeZnMo
_chemical_formula_sum 'Be2 Zn2 Mo2'
_cell_length_a 2.624
_cell_length_b 2.624
_cell_length_c 10.782
_cell_angle_alpha 90.00
_cell_angle_beta 90.00
_cell_angle_gamma 90.00
_space_group_name_H-M_alt 'I 4 m m'
_space_group_IT_number 107
_space_group_name_Hall 'I 4 -2'
loop_
_atom_site_label
_atom_site_type_symbol
_atom_site_fract_x
_atom_site_fract_y
_atom_site_fract_z
_atom_site_occupancy
Be1 Be 0.000 0.000 0.000 1
Zn1 Zn 0.000 0.000 0.354 1
Mo1 Mo 0.000 0.000 0.662 1


# 5
# SrAs2Br, PBEsol geometry, DFT meta-GGA SCAN
# * mass density: 5.25 g/cm³
# * formation energy (no corrections): -0.77 eV/atom
# * crystal system: tetragonal
# * polymorph energy (0 for the lowest one): 0 meV per atom
data_SrAs2Br
_chemical_formula_sum 'Sr1 As2 Br1'
_cell_length_a 4.034
_cell_length_b 4.034
_cell_length_c 6.171
_cell_angle_alpha 90.00
_cell_angle_beta 90.00
_cell_angle_gamma 90.00
_space_group_name_H-M_alt 'P 4/m m m'
_space_group_IT_number 123
_space_group_name_Hall '-P 4 2'
loop_
_atom_site_label
_atom_site_type_symbol
_atom_site_fract_x
_atom_site_fract_y
_atom_site_fract_z
_atom_site_occupancy
Sr1 Sr 0.000 0.000 0.000 1
As1 As 0.000 0.500 0.500 1
Br1 Br 0.500 0.500 0.000 1


# 6
# ReOsCl2, PBEsol geometry, DFT meta-GGA SCAN
# * mass density: 9.89 g/cm³
# * formation energy (no corrections): 0.65 eV/atom
# * crystal system: monoclinic
# * polymorph energy (0 for the lowest one): 228 meV per atom
data_ReOsCl2
_chemical_formula_sum 'Re2 Os2 Cl4'
_cell_length_a 11.530
_cell_length_b 2.848
_cell_length_c 4.610
_cell_angle_alpha 90.00
_cell_angle_beta 97.09
_cell_angle_gamma 90.00
_space_group_name_H-M_alt 'C 1 2/m 1'
_space_group_IT_number 12
loop_
_space_group_symop_operation_xyz
'x,y,z'
'-x,-y,-z'
'-x,y,-z'
'x,-y,z'
'x+1/2,y+1/2,z'
'-x+1/2,-y+1/2,-z'
'-x+1/2,y+1/2,-z'
'x+1/2,-y+1/2,z'
loop_
_atom_site_label
_atom_site_type_symbol
_atom_site_fract_x
_atom_site_fract_y
_atom_site_fract_z
_atom_site_occupancy
Re1 Re 0.000 0.000 0.000 1
Os1 Os 0.000 0.500 0.500 1
Cl1 Cl 0.155 0.500 0.217 1


# 7
# KZr2Rh, PBEsol geometry, DFT meta-GGA SCAN
# * mass density: 4.98 g/cm³
# * energy of formation: 140 meV per atom
# * crystal system: orthorhombic
# * polymorph energy (0 for the lowest one): 113 meV per atom
data_KZr2Rh
_chemical_formula_sum 'K2 Zr4 Rh2'
_cell_length_a 3.157
_cell_length_b 3.346
_cell_length_c 20.480
_cell_angle_alpha 90.00
_cell_angle_beta 90.00
_cell_angle_gamma 90.00
_space_group_name_H-M_alt 'I m m 2'
_space_group_IT_number 44
loop_
_space_group_symop_operation_xyz
'x,y,z'
'-x,-y,z'
'-x,y,z'
'x,-y,z'
'x+1/2,y+1/2,z+1/2'
'-x+1/2,-y+1/2,z+1/2'
'-x+1/2,y+1/2,z+1/2'
'x+1/2,-y+1/2,z+1/2'
loop_
_atom_site_label
_atom_site_type_symbol
_atom_site_fract_x
_atom_site_fract_y
_atom_site_fract_z
_atom_site_occupancy
K1 K 0.000 0.000 0.000 1
Zr1 Zr 0.000 0.000 0.662 1
Zr2 Zr 0.000 0.500 0.324 1
Rh1 Rh 0.000 0.500 0.758 1


# 8
# Li2PS, PBEsol geometry, DFT meta-GGA SCAN
# * mass density: 2.26 g/cm³
# * formation energy (no corrections): -0.34 eV/atom
# * crystal system: cubic
data_Li2PS
_chemical_formula_sum 'Li8 P4 S4'
_cell_length_a 6.091
_cell_length_b 6.091
_cell_length_c 6.091
_cell_angle_alpha 90.00
_cell_angle_beta 90.00
_cell_angle_gamma 90.00
_space_group_name_H-M_alt 'F m -3 m'
_space_group_IT_number 225
_space_group_name_Hall '-F 4 2 3'
loop_
_atom_site_label
_atom_site_type_symbol
_atom_site_fract_x
_atom_site_fract_y
_atom_site_fract_z
_atom_site_occupancy
Li1 Li 0.250 0.250 0.250 1
P1 P 0.000 0.000 0.000 1
S1 S 0.000 0.000 0.500 1